Entry 1:
A plane-wave DFT calculation with PBE was carried out for an optimized crystal structure of LiY2Al2.

Results
The calculation puts the offset from the most stable computed form at 0.239 eV per atom. As for the formation energy: -4.3 kJ/mol of atoms.

Unit cell a=8.9247 b=8.9247 c=3.2801 alpha=90.00 beta=90.00 gamma=90.00
Fractional positions:
Li 0.0000 0.0000 0.0000
Li 0.5000 0.5000 0.0000
Y 0.1314 0.3686 0.0000
Y 0.3686 0.8686 0.0000
Y 0.6314 0.1314 0.0000
Y 0.8686 0.6314 0.0000
Al 0.1690 0.6690 0.5000
Al 0.3310 0.1690 0.5000
Al 0.6690 0.8310 0.5000
Al 0.8310 0.3310 0.5000


Entry 2:
A plane-wave DFT calculation with PBE was carried out for an optimized crystal structure of Ca2NbH.

Results
The calculation puts the offset from the most stable computed form at 0.477 eV per atom.

Unit cell a=7.4735 b=7.4735 c=7.4735 alpha=90.00 beta=90.00 gamma=90.00
Fractional positions:
Ca 0.2500 0.2500 0.2500
Ca 0.2500 0.2500 0.7500
Ca 0.2500 0.7500 0.2500
Ca 0.2500 0.7500 0.7500
Ca 0.7500 0.2500 0.2500
Ca 0.7500 0.2500 0.7500
Ca 0.7500 0.7500 0.2500
Ca 0.7500 0.7500 0.7500
Nb 0.0000 0.0000 0.0000
Nb 0.0000 0.5000 0.5000
Nb 0.5000 0.0000 0.5000
Nb 0.5000 0.5000 0.0000
H 0.0000 0.0000 0.5000
H 0.0000 0.5000 0.0000
H 0.5000 0.0000 0.0000
H 0.5000 0.5000 0.5000


Entry 3:
A plane-wave DFT calculation with PBE was carried out for an optimized crystal structure of Ti4Si.

Results
The value obtained for the formation energy (no corrections) is -0.30 eV/atom. The calculation puts the offset from the most stable computed form at 0.000 eV per atom.

Unit cell a=7.4531 b=7.4531 c=7.4531 alpha=145.39 beta=137.79 gamma=55.69
Fractional positions:
Ti 0.0000 0.0000 0.0000
Ti 0.1996 0.1985 0.0012
Ti 0.3027 0.8015 0.5012
Ti 0.3448 0.5948 0.7500
Ti 0.5000 0.0000 0.5000
Ti 0.6552 0.4052 0.2500
Ti 0.6973 0.1985 0.4988
Ti 0.8004 0.8015 0.9988
Si 0.1375 0.3875 0.7500
Si 0.8625 0.6125 0.2500


| no. | energy (eV per atom) | calculated density (g/cm3) | density of states at the Fermi level (states/eV/atom) |
| --- | --- | --- | --- |
| 1 | -4.51 | 3.03 | 0.924 |
| 2 | -3.33 | 2.77 | 0.480 |
| 3 | -7.70 | 4.65 | 1.119 |